(1)
A relaxed BaSc2Ta crystal. Source: Alexandria, functional PBE.

Summary:
E_tot: -94.9 eV for the cell shown

Lattice parameters (Å, degrees): 7.4385 7.4385 7.4385 90.00 90.00 90.00
Space group Fm-3m (No. 225)
Asymmetric unit:
Ba  0.0000  0.0000  0.0000 [4 per cell]
Sc  0.2500  0.2500  0.2500 [8 per cell]
Ta  0.0000  0.0000  0.5000 [4 per cell]

(2)
A relaxed Cd2Re2Au crystal. Source: Alexandria, functional PBE.

Summary:
E_tot: -48.8 eV for the cell shown

Lattice parameters (Å, degrees): 3.8059 3.8059 13.5206 90.00 90.00 90.00
Space group I4/mmm (No. 139)
Asymmetric unit:
Cd  0.0000  0.5000  0.2500 [4 per cell]
Re  0.0000  0.0000  0.0845 [4 per cell]
Au  0.0000  0.0000  0.5000 [2 per cell]

> Number 1 is which compound?

BaSc2Ta

> Among the records above, which one has the highest E_tot?

Cd2Re2Au

> Number 2 is which compound?

Cd2Re2Au